No. 1
A crystal of ZrIrRu2 relaxed with PBEsol, computed with meta-GGA SCAN.

- E_form: 0.642 eV per formula unit
- DOS(E_F): 1.115 states/eV/atom

Cell lengths 9.399, 9.399, 9.399 Å; angles 16.80, 16.80, 16.80 degrees
Atoms (fractional coordinates):
Zr 0.000 0.000 0.000
Ir 0.500 0.500 0.500
Ru 0.244 0.244 0.244
Ru 0.756 0.756 0.756

=====

No. 2
A crystal of CdH2Rh2 relaxed with PBEsol, computed with meta-GGA SCAN.

- E_tot: -105.22 eV/cell
- DOS(E_F): 0.502 states/eV/atom

Cell lengths 5.850, 5.850, 5.850 Å; angles 149.49, 149.49, 43.69 degrees
Atoms (fractional coordinates):
Cd 0.000 0.000 0.000
H 0.250 0.750 0.500
H 0.750 0.250 0.500
Rh 0.342 0.342 0.000
Rh 0.658 0.658 0.000

=====

No. 3
A crystal of AlNi6Au relaxed with PBEsol, computed with meta-GGA SCAN.

- E_form: -1.437 eV per formula unit
- DOS(E_F): 0.818 states/eV/atom

Cell lengths 6.196, 6.196, 10.143 Å; angles 90.00, 90.00, 109.66 degrees
Atoms (fractional coordinates):
Al 0.000 0.000 0.246
Al 0.000 0.000 0.754
Al 0.251 0.749 0.000
Al 0.749 0.251 0.000
Ni 0.000 0.000 0.000
Ni 0.000 0.000 0.500
Ni 0.120 0.367 0.370
Ni 0.120 0.367 0.630
Ni 0.120 0.373 0.121
Ni 0.120 0.373 0.879
Ni 0.246 0.754 0.243
Ni 0.246 0.754 0.757
Ni 0.367 0.120 0.370
Ni 0.367 0.120 0.630
Ni 0.373 0.120 0.121
Ni 0.373 0.120 0.879
Ni 0.500 0.500 0.000
Ni 0.500 0.500 0.500
Ni 0.627 0.880 0.121
Ni 0.627 0.880 0.879
Ni 0.633 0.880 0.370
Ni 0.633 0.880 0.630
Ni 0.754 0.246 0.243
Ni 0.754 0.246 0.757
Ni 0.880 0.627 0.121
Ni 0.880 0.627 0.879
Ni 0.880 0.633 0.370
Ni 0.880 0.633 0.630
Au 0.252 0.748 0.500
Au 0.500 0.500 0.249
Au 0.500 0.500 0.751
Au 0.748 0.252 0.500

=====

No. 4
A crystal of ZrInCu2 relaxed with PBEsol, computed with meta-GGA SCAN.

- E_form: 0.818 eV per formula unit
- DOS(E_F): 0.612 states/eV/atom

Cell lengths 9.026, 9.026, 9.026 Å; angles 19.08, 19.08, 19.08 degrees
Atoms (fractional coordinates):
Zr 0.000 0.000 0.000
In 0.500 0.500 0.500
Cu 0.249 0.249 0.249
Cu 0.751 0.751 0.751

=====

No. 5
A crystal of HgS2BrN relaxed with PBEsol, computed with meta-GGA SCAN.

- Formation energy (no corrections): 1.56 eV per atom
- DOS(E_F): 0.474 states/eV/atom

Cell lengths 4.990, 4.990, 3.698 Å; angles 90.00, 90.00, 90.00 degrees
Atoms (fractional coordinates):
Hg 0.000 0.000 0.000
S 0.000 0.500 0.500
S 0.500 0.000 0.500
Br 0.500 0.500 0.500
N 0.500 0.500 0.000

=====

No. 6
A crystal of Co2NiMo relaxed with PBEsol, computed with meta-GGA SCAN.

- E_form: 0.700 eV per formula unit
- DOS(E_F): 0.686 states/eV/atom

Cell lengths 3.599, 3.599, 3.456 Å; angles 90.00, 90.00, 90.00 degrees
Atoms (fractional coordinates):
Co 0.000 0.500 0.000
Co 0.500 0.000 0.000
Ni 0.000 0.000 0.500
Mo 0.500 0.500 0.500